A geometry-optimized Cd2Te structure, computed with PBE-GGA.

```
data_Cd2Te
_cell_length_a 6.2973
_cell_length_b 6.2973
_cell_length_c 5.5296
_cell_angle_alpha 90.00
_cell_angle_beta 90.00
_cell_angle_gamma 90.00
_symmetry_space_group_name_H-M 'P 42/m n m'
_symmetry_Int_Tables_number 136
_symmetry_space_group_name_Hall '-P 4n 2n'
loop_
_atom_site_label
_atom_site_type_symbol
_atom_site_fract_x
_atom_site_fract_y
_atom_site_fract_z
_atom_site_occupancy
Cd1 Cd 0.1685 0.1685 0.0000 1
Te1 Te 0.0000 0.0000 0.5000 1
```

Volume in A^3/atom: 36.548
Calculated total energy in eV per atom: -1.59
Size of the total moment in μB/cell: 0.00
Raw formation energy in eV per atom: 0.06
Density of states at the Fermi level in states/eV/atom: 0.39